Record 1
The following is a DFT calculation (PBE) of a relaxed Fe2AsPt crystal.

```
Fe2AsPt
1.0
-1.147 -3.483 1.593
-0.781 -1.314 -3.434
3.515 -1.296 -0.304
As Fe Pt
1 2 1
Direct
0.500 0.000 0.500
0.000 0.000 0.000
0.000 0.500 0.500
0.500 0.500 0.000
```

Computed properties:
formation enthalpy at 0 K = -1.4 kJ/mol of formula units

***

Record 2
The following is a DFT calculation (PBE) of a relaxed Pm2GaH crystal.

```
Pm2GaH
1.0
-1.286 -2.240 -2.162
2.786 0.216 -1.881
3.029 -5.463 3.858
H Ga Pm
1 1 2
Direct
0.500 0.500 0.000
0.500 0.500 0.500
0.000 0.000 0.767
0.000 0.000 0.233
```

Computed properties:
polymorph energy (0 for the lowest one) = 0.276 eV per atom

***

Record 3
The following is a DFT calculation (PBE) of a relaxed Pa4Cd3O12 crystal.

```
Pa4Cd3O12
1.0
-6.336 -3.708 0.481
4.912 -2.927 4.629
-1.143 7.048 1.772
Pa Cd O
4 3 12
Direct
0.500 0.500 0.500
0.500 0.000 0.000
0.000 0.000 0.500
0.000 0.500 0.000
0.500 0.500 0.000
0.000 0.500 0.500
0.500 0.000 0.500
0.199 0.698 0.897
0.801 0.302 0.103
0.199 0.302 0.501
0.302 0.103 0.801
0.897 0.199 0.698
0.499 0.801 0.698
0.698 0.499 0.801
0.103 0.801 0.302
0.801 0.698 0.499
0.698 0.897 0.199
0.501 0.199 0.302
0.302 0.501 0.199
```

Computed properties:
ΔE_f (raw) = -2741 meV/atom

***

Asked for Fermi-level density of states across the records above, the calculation gives 0.67; 0.65; 0.36 states/eV per atom in order.
Asked for theoretical density across the records above, the calculation gives 11.2; 7.2; 7.9 Mg/m³ in order.